A) The following is a DFT calculation (meta-GGA SCAN) of Zr2ScMo at its PBEsol-relaxed geometry.

Unit cell a=3.397 b=5.029 c=9.513 alpha=90.00 beta=90.00 gamma=90.00
Space group Immm (No. 71)
One atom of each set of equivalent atoms:
1 Zr 0.000 0.000 0.217 [4 per cell]
2 Sc 0.000 0.500 0.000 [2 per cell]
3 Mo 0.000 0.500 0.500 [2 per cell]

Properties
The value obtained for the density of states at the Fermi level is 4.1 states/eV/f.u. The value obtained for the total magnetization is 0.0000 μB per atom.



B) The following is a DFT calculation (meta-GGA SCAN) of Zr2ScMo at its PBEsol-relaxed geometry.

Unit cell a=3.393 b=4.800 c=9.893 alpha=90.00 beta=90.00 gamma=90.00
Space group Imm2 (No. 44)
One atom of each set of equivalent atoms:
1 Zr 0.000 0.000 0.000 [2 per cell]
2 Zr 0.000 0.500 0.217 [2 per cell]
3 Sc 0.000 0.000 0.437 [2 per cell]
4 Mo 0.000 0.500 0.708 [2 per cell]

Properties
The value obtained for the density of states at the Fermi level is 4.5 states/eV/f.u. The value obtained for the total magnetization is 0.0000 μB per atom.



The structure with the most favorable energy is A); the runner-up is 1.1 kJ/mol of atoms above it.



A) The following is a DFT calculation (meta-GGA SCAN) of Mo3Se4 at its PBEsol-relaxed geometry.

Unit cell a=3.053 b=3.053 c=27.473 alpha=90.00 beta=90.00 gamma=90.00
Space group I4/mmm (No. 139)
One atom of each set of equivalent atoms:
1 Mo 0.000 0.000 0.000 [2 per cell]
2 Mo 0.000 0.000 0.285 [4 per cell]
3 Se 0.000 0.000 0.165 [4 per cell]
4 Se 0.000 0.000 0.444 [4 per cell]

Properties
The value obtained for the density of states at the Fermi level is 3.7 states/eV/f.u. The value obtained for the total magnetization is 0.0000 μB per atom.



B) The following is a DFT calculation (meta-GGA SCAN) of Mo3Se4 at its PBEsol-relaxed geometry.

Unit cell a=9.4501 b=9.4501 c=11.1723 alpha=90.00 beta=90.00 gamma=120.00
Space group R-3 (No. 148, hexagonal axes)
One atom of each set of equivalent atoms:
1 Mo 0.0196 0.8476 0.3942 [18 per cell]
2 Se 0.0000 0.0000 0.2145 [6 per cell]
3 Se 0.0035 0.6285 0.2480 [18 per cell]

Properties
The value obtained for the density of states at the Fermi level is 5.5 states/eV/f.u. The value obtained for the total magnetization is 0.0000 μB per atom.



The structure with the most favorable energy is B); the runner-up is 32.5 kJ/mol of atoms above it.



A) The following is a DFT calculation (meta-GGA SCAN) of Mo9Se11 at its PBEsol-relaxed geometry.

Unit cell a=11.929 b=13.057 c=10.930 alpha=90.00 beta=90.00 gamma=90.00
Space group Cmcm (No. 63)
One atom of each set of equivalent atoms:
1 Mo 0.000 0.147 0.250 [4 per cell]
2 Mo 0.000 0.324 0.127 [8 per cell]
3 Mo 0.190 0.384 0.250 [8 per cell]
4 Mo 0.191 0.210 0.128 [16 per cell]
5 Se 0.000 0.154 0.014 [8 per cell]
6 Se 0.000 0.492 0.250 [4 per cell]
7 Se 0.142 0.230 0.750 [8 per cell]
8 Se 0.174 0.385 0.016 [16 per cell]
9 Se 0.177 0.042 0.250 [8 per cell]

Properties
The value obtained for the density of states at the Fermi level is 13.0 states/eV/f.u. The value obtained for the total magnetization is 0.0000 μB per atom.



B) The following is a DFT calculation (meta-GGA SCAN) of Mo9Se11 at its PBEsol-relaxed geometry.

Unit cell a=9.3546 b=9.3546 c=12.0865 alpha=90.00 beta=90.00 gamma=120.00
Space group P6_3/m (No. 176)
One atom of each set of equivalent atoms:
1 Mo 0.1590 0.5155 0.0609 [12 per cell]
2 Mo 0.1774 0.6821 0.2500 [6 per cell]
3 Se 0.0019 0.3686 0.2500 [6 per cell]
4 Se 0.0383 0.7078 0.0783 [12 per cell]
5 Se 0.3333 0.6667 0.6040 [4 per cell]

Properties
The value obtained for the density of states at the Fermi level is 11.0 states/eV/f.u. The value obtained for the total magnetization is 0.0000 μB per atom.



The structure with the most favorable energy is B); the runner-up is 0.8 kJ/mol of atoms above it.